A plane-wave DFT calculation with GGA-PBE was carried out for a relaxed structure of MgZrPtBr2.

POSCAR file:
```
MgZrPtBr2
1.0
-2.245 2.488 -3.478
-0.812 -4.476 -2.677
-4.211 -0.603 2.287
Zr Br Pt Mg
1 2 1 1
direct
0.500 0.500 0.500
0.000 0.000 0.500
0.500 0.000 0.000
0.000 0.500 0.000
0.000 0.000 0.000
```

Values from the calculation:
The space-group type is No. 123. The calculation puts the magnetization at 1.8 μB/f.u. For the formation energy (no corrections), the calculation gives 40 kJ/mol of formula units. Its total energy is -19.1 eV/cell.

A plane-wave DFT calculation with GGA-PBE was carried out for a relaxed structure of Pu2MgBr6.

POSCAR file:
```
Pu2MgBr6
1.0
3.989 0.000 0.000
-1.995 7.714 -2.607
0.000 0.127 10.064
Br Mg Pu
6 1 2
direct
0.618 0.237 0.535
0.299 0.598 0.843
0.382 0.763 0.465
0.023 0.046 0.781
0.977 0.954 0.219
0.701 0.402 0.157
0.000 0.000 0.500
0.333 0.667 0.146
0.667 0.333 0.854
```

Values from the calculation:
The space-group type is No. 12. The calculation puts the magnetization at 12.0 μB/f.u. The energy above the lowest structure with this stoichiometry comes out at 0 meV per atom. For the formation energy (no corrections), the calculation gives -1235 kJ/mol of formula units. Its total energy is -53.1 eV/cell.

A plane-wave DFT calculation with GGA-PBE was carried out for a relaxed structure of Pu2MgBr6.

POSCAR file:
```
Pu2MgBr6
1.0
6.900 0.000 0.000
0.000 6.900 0.000
0.000 0.000 12.786
Br Pu Mg
12 4 2
direct
0.220 0.780 0.000
0.191 0.809 0.655
0.280 0.280 0.500
0.191 0.809 0.345
0.720 0.720 0.500
0.809 0.191 0.655
0.809 0.191 0.345
0.309 0.309 0.845
0.309 0.309 0.155
0.780 0.220 0.000
0.691 0.691 0.155
0.691 0.691 0.845
0.000 0.000 0.159
0.500 0.500 0.341
0.500 0.500 0.659
0.000 0.000 0.841
0.000 0.000 0.500
0.500 0.500 0.000
```

Values from the calculation:
The space-group type is No. 136. The calculation puts the magnetization at 12.0 μB/f.u. The energy above the lowest structure with this stoichiometry comes out at 54 meV per atom. For the formation energy (no corrections), the calculation gives -1188 kJ/mol of formula units. Its total energy is -105.2 eV/cell.